Record 1
Compound: BeAlCu2
Source: Alexandria via LeMat-Bulk
Functional: GGA-PBEsol
Structure: optimized geometry

abc: 3.510 3.510 4.413
angles: 113.43 113.43 90.00
Element x y z (fractional)
Be: 0.250 0.750 0.500
Al: 0.500 0.500 0.000
Cu: 0.000 0.000 0.000
Cu: 0.750 0.250 0.500

Space group ... No. 119
E_form ... -46 kJ/mol of formula units
Uncorrected energy ... -4.31 eV/atom
Crystal system ... tetragonal

=====

Record 2
Compound: BeAlCu2
Source: Alexandria via LeMat-Bulk
Functional: GGA-PBEsol
Structure: optimized geometry

abc: 2.925 3.907 4.626
angles: 114.98 108.43 90.00
Element x y z (fractional)
Be: 0.264 0.764 0.529
Al: 0.505 0.505 0.009
Cu: 0.987 0.987 0.974
Cu: 0.744 0.244 0.488

Space group ... No. 44
E_form ... -49 kJ/mol of formula units
Uncorrected energy ... -4.32 eV/atom
Crystal system ... orthorhombic

=====

Record 3
Compound: BeAlCu
Source: Alexandria via LeMat-Bulk
Functional: GGA-PBEsol
Structure: optimized geometry

abc: 2.973 2.973 4.417
angles: 109.67 109.67 90.00
Element x y z (fractional)
Be: 0.678 0.678 0.357
Al: 0.001 0.001 0.002
Cu: 0.321 0.321 0.642

Space group ... No. 107
E_form ... -8 kJ/mol of formula units
Uncorrected energy ... -4.17 eV/atom
Crystal system ... tetragonal

=====

Record 4
Compound: Be4AlCu
Source: Alexandria via LeMat-Bulk
Functional: GGA-PBEsol
Structure: optimized geometry

abc: 4.305 4.305 4.305
angles: 60.00 60.00 60.00
Element x y z (fractional)
Be: 0.375 0.375 0.375
Be: 0.375 0.375 0.875
Be: 0.875 0.375 0.375
Be: 0.375 0.875 0.375
Al: 0.000 0.000 0.000
Cu: 0.750 0.750 0.750

Space group ... No. 216
E_form ... -44 kJ/mol of formula units
Uncorrected energy ... -4.15 eV/atom
Crystal system ... cubic

=====

Record 5
Compound: BeAlCu2
Source: Alexandria via LeMat-Bulk
Functional: GGA-PBEsol
Structure: optimized geometry

abc: 2.794 2.794 5.709
angles: 90.00 90.00 90.00
Element x y z (fractional)
Be: 0.500 0.500 0.500
Al: 0.500 0.500 0.000
Cu: 0.000 0.000 0.720
Cu: 0.000 0.000 0.280

Space group ... No. 123
E_form ... -67 kJ/mol of formula units
Uncorrected energy ... -4.36 eV/atom
Crystal system ... tetragonal

=====

Record 6
Compound: BeAlCu2
Source: Alexandria via LeMat-Bulk
Functional: GGA-PBEsol
Structure: optimized geometry

abc: 2.943 3.979 4.562
angles: 115.86 108.82 90.00
Element x y z (fractional)
Be: 0.000 0.500 0.000
Al: 0.500 0.000 0.000
Cu: 0.731 0.731 0.462
Cu: 0.269 0.269 0.538

Space group ... No. 71
E_form ... -40 kJ/mol of formula units
Uncorrected energy ... -4.29 eV/atom
Crystal system ... orthorhombic

=====

Record 7
Compound: BeAlNF2
Source: Alexandria via LeMat-Bulk
Functional: GGA-PBEsol
Structure: optimized geometry

abc: 3.475 3.475 4.031
angles: 90.00 90.00 90.00
Element x y z (fractional)
Be: 0.500 0.500 0.500
N: 0.000 0.000 0.500
Al: 0.000 0.000 0.000
F: 0.000 0.500 0.000
F: 0.500 0.000 0.000

Space group ... No. 123
Uncorrected energy ... -5.43 eV/atom
Crystal system ... tetragonal

=====

Record 8
Compound: BeAlFe3
Source: Alexandria via LeMat-Bulk
Functional: GGA-PBEsol
Structure: optimized geometry

abc: 3.849 3.849 3.849
angles: 90.00 90.00 90.00
Each line ends with the local moment (μB).
Element x y z (fractional)
Be: 0.000 0.000 0.000  -0.12
Fe: 0.000 0.500 0.000  1.83
Fe: 0.000 0.000 0.500  1.83
Fe: 0.500 0.000 0.000  1.83
Al: 0.500 0.500 0.500  -0.07

Space group ... No. 221
E_form ... 161 kJ/mol of formula units
Uncorrected energy ... -6.66 eV/atom
Crystal system ... cubic

=====

Record 9
Compound: Be4AlFe
Source: Alexandria via LeMat-Bulk
Functional: GGA-PBEsol
Structure: optimized geometry

abc: 4.210 4.210 4.210
angles: 60.00 60.00 60.00
Each line ends with the local moment (μB).
Element x y z (fractional)
Be: 0.880 0.373 0.373  0.00
Be: 0.373 0.373 0.373  0.00
Be: 0.373 0.880 0.373  0.00
Be: 0.373 0.373 0.880  0.00
Fe: 0.000 0.000 0.000  0.68
Al: 0.750 0.750 0.750  -0.01

Space group ... No. 216
E_form ... -139 kJ/mol of formula units
Uncorrected energy ... -5.08 eV/atom
Crystal system ... cubic

=====

Record 10
Compound: BeAl2Fe
Source: Alexandria via LeMat-Bulk
Functional: GGA-PBEsol
Structure: optimized geometry

abc: 3.065 3.844 4.618
angles: 114.59 109.38 90.00
Each line ends with the local moment (μB).
Element x y z (fractional)
Be: 0.517 0.517 0.034  -0.01
Fe: 0.235 0.735 0.470  0.64
Al: 0.989 0.989 0.978  -0.01
Al: 0.759 0.259 0.518  0.00

Space group ... No. 44
E_form ... -80 kJ/mol of formula units
Uncorrected energy ... -5.49 eV/atom
Crystal system ... orthorhombic

=====

Record 11
Compound: Be2AlFe2
Source: Alexandria via LeMat-Bulk
Functional: GGA-PBEsol
Structure: optimized geometry

abc: 2.789 5.811 5.811
angles: 90.00 90.00 90.00
Each line ends with the local moment (μB).
Element x y z (fractional)
Be: 0.000 0.378 0.878  -0.04
Be: 0.000 0.878 0.622  -0.04
Be: 0.000 0.622 0.122  -0.04
Be: 0.000 0.122 0.378  -0.04
Fe: 0.500 0.171 0.671  0.63
Fe: 0.500 0.671 0.829  0.63
Fe: 0.500 0.829 0.329  0.63
Fe: 0.500 0.329 0.171  0.63
Al: 0.000 0.000 0.000  -0.02
Al: 0.000 0.500 0.500  -0.02

Space group ... No. 127
E_form ... -136 kJ/mol of formula units
Uncorrected energy ... -6.29 eV/atom
Crystal system ... tetragonal

=====

Record 12
Compound: BeAlFe2Pt
Source: Alexandria via LeMat-Bulk
Functional: GGA-PBEsol
Structure: optimized geometry

abc: 4.112 4.655 4.655
angles: 90.00 90.00 90.00
Each line ends with the local moment (μB).
Element x y z (fractional)
Be: 0.500 0.000 0.000  -0.03
Fe: 0.000 0.000 0.500  3.02
Fe: 0.000 0.500 0.000  3.02
Pt: 0.000 0.000 0.000  0.23
Al: 0.500 0.500 0.500  -0.03

Space group ... No. 123
E_form ... 440 kJ/mol of formula units
Uncorrected energy ... -5.69 eV/atom
Crystal system ... tetragonal